[1]
Entry from Alexandria: a relaxed Nd2Sm3Er2 crystal (GGA-PBE).

The structure in POSCAR format:
```
Nd2Sm3Er2
1.0
3.534 0.000 0.000
0.000 8.592 -0.724
-1.767 -3.646 8.067
Sm Er Nd
3 2 2
direct
0.212 0.796 0.424
0.000 0.500 0.000
0.788 0.204 0.576
0.149 0.334 0.298
0.851 0.666 0.702
0.434 0.087 0.869
0.566 0.913 0.131
```

Output
**VASP energy**: -4.570 eV per atom
**N(E_F)**: 10.9 states/eV/f.u.
**Energy relative to the lowest polymorph listed for this composition**: 9.8 kJ per mole of atoms
**Crystal system**: monoclinic
**M_tot**: 0.000 μB per formula unit
**Mass density**: 7.569 g cm⁻³


[2]
Entry from Alexandria: a relaxed NiAsPdBr2 crystal (GGA-PBE).

The structure in POSCAR format:
```
NiAsPdBr2
1.0
5.161 0.000 0.000
0.000 5.161 0.000
0.000 0.000 4.852
Pd As Br Ni
1 1 2 1
direct
0.000 0.000 0.000
0.000 0.000 0.500
0.000 0.500 0.000
0.500 0.000 0.000
0.500 0.500 0.500
```

Output
**VASP energy**: -3.076 eV per atom
**N(E_F)**: 6.3 states/eV/f.u.
**Energy relative to the lowest polymorph listed for this composition**: 26.8 kJ per mole of atoms
**Crystal system**: tetragonal
**M_tot**: 0.528 μB per formula unit
**Uncorrected formation energy**: 0.718 eV/atom
**Mass density**: 5.137 g cm⁻³


[3]
Entry from Alexandria: a relaxed AcAl2H8 crystal (GGA-PBE).

The structure in POSCAR format:
```
AcAl2H8
1.0
-0.983 3.696 0.062
-5.016 -1.342 0.444
3.486 -1.139 5.290
H Al Ac
8 2 1
direct
0.613 0.936 0.225
0.219 0.218 0.438
0.613 0.289 0.226
0.387 0.064 0.775
0.781 0.782 0.562
0.890 0.391 0.781
0.387 0.711 0.774
0.110 0.609 0.219
0.365 0.365 0.730
0.635 0.635 0.270
0.000 0.000 0.000
```

Output
**VASP energy**: -3.632 eV per atom
**N(E_F)**: 2.2 states/eV/f.u.
**Crystal system**: orthorhombic
**M_tot**: 0.000 μB per formula unit
**Mass density**: 4.328 g cm⁻³


[4]
Entry from Alexandria: a relaxed Tm5Co2Bi crystal (GGA-PBE).

The structure in POSCAR format:
```
Tm5Co2Bi
1.0
-4.170 3.701 -4.915
1.596 -5.084 -5.182
-4.314 -3.043 6.988
Bi Tm Co
2 10 4
direct
0.250 0.250 0.500
0.750 0.750 0.500
0.214 0.033 0.746
0.033 0.533 0.746
0.500 0.500 0.000
0.467 0.286 0.254
0.286 0.786 0.254
0.714 0.214 0.746
0.786 0.967 0.254
0.000 0.000 0.000
0.533 0.714 0.746
0.967 0.467 0.254
0.865 0.635 0.000
0.365 0.865 0.000
0.635 0.135 0.000
0.135 0.365 0.000
```

Output
**VASP energy**: -5.433 eV per atom
**N(E_F)**: 8.9 states/eV/f.u.
**Crystal system**: tetragonal
**M_tot**: 0.001 μB per formula unit
**Mass density**: 10.053 g cm⁻³


[5]
Entry from Alexandria: a relaxed LiNiI crystal (GGA-PBE).

The structure in POSCAR format:
```
LiNiI
1.0
8.763 0.000 0.000
0.000 4.107 0.000
0.000 0.000 6.248
Li I Ni
4 4 4
direct
0.869 0.250 0.222
0.131 0.750 0.778
0.631 0.750 0.722
0.369 0.250 0.278
0.145 0.750 0.239
0.355 0.250 0.739
0.645 0.750 0.261
0.855 0.250 0.761
0.585 0.250 0.020
0.915 0.750 0.520
0.415 0.750 0.980
0.085 0.250 0.480
```

Output
**VASP energy**: -3.297 eV per atom
**N(E_F)**: 0.0 states/eV/f.u.
**Energy relative to the lowest polymorph listed for this composition**: 4.8 kJ per mole of atoms
**Crystal system**: orthorhombic
**M_tot**: 0.000 μB per formula unit
**Uncorrected formation energy**: -0.215 eV/atom
**Mass density**: 5.686 g cm⁻³


[6]
Entry from Alexandria: a relaxed Tb3SbH crystal (GGA-PBE).

The structure in POSCAR format:
```
Tb3SbH
1.0
4.796 0.000 0.000
0.000 4.796 0.000
0.000 0.000 4.796
H Tb Sb
1 3 1
direct
0.000 0.000 0.000
0.000 0.000 0.500
0.500 0.000 0.000
0.000 0.500 0.000
0.500 0.500 0.500
```

Output
**VASP energy**: -4.821 eV per atom
**N(E_F)**: 4.8 states/eV/f.u.
**Energy relative to the lowest polymorph listed for this composition**: 1.6 kJ per mole of atoms
**Crystal system**: cubic
**M_tot**: 0.000 μB per formula unit
**Mass density**: 9.027 g cm⁻³


[7]
Entry from Alexandria: a relaxed LaGe3Ir3 crystal (GGA-PBE).

The structure in POSCAR format:
```
LaGe3Ir3
1.0
6.780 0.000 0.000
0.000 6.780 0.000
0.000 0.000 6.780
Ir La Ge
6 2 6
direct
0.750 0.000 0.500
0.500 0.750 0.000
0.250 0.000 0.500
0.000 0.500 0.250
0.500 0.250 0.000
0.000 0.500 0.750
0.500 0.500 0.500
0.000 0.000 0.000
0.250 0.500 0.000
0.000 0.250 0.500
0.500 0.000 0.250
0.500 0.000 0.750
0.000 0.750 0.500
0.750 0.500 0.000
```

Output
**VASP energy**: -6.712 eV per atom
**N(E_F)**: 5.6 states/eV/f.u.
**Energy relative to the lowest polymorph listed for this composition**: 20.1 kJ per mole of atoms
**Crystal system**: cubic
**M_tot**: 0.000 μB per formula unit
**Mass density**: 9.948 g cm⁻³


[8]
Entry from Alexandria: a relaxed PmIn3I6 crystal (GGA-PBE).

The structure in POSCAR format:
```
PmIn3I6
1.0
-0.474 -7.639 -2.834
-0.561 -3.176 8.656
-11.965 -0.010 -0.779
In I Pm
6 12 2
direct
0.500 0.500 0.000
0.968 0.400 0.716
0.532 0.900 0.784
0.468 0.100 0.216
0.032 0.600 0.284
0.000 0.000 0.500
0.154 0.063 0.759
0.346 0.563 0.741
0.817 0.668 0.549
0.317 0.832 0.049
0.842 0.716 0.917
0.158 0.284 0.083
0.654 0.437 0.259
0.183 0.332 0.451
0.658 0.216 0.583
0.846 0.937 0.241
0.683 0.168 0.951
0.342 0.784 0.417
0.000 0.000 0.000
0.500 0.500 0.500
```

Output
**VASP energy**: -3.062 eV per atom
**N(E_F)**: 0.0 states/eV/f.u.
**Crystal system**: monoclinic
**M_tot**: 0.000 μB per formula unit
**Uncorrected formation energy**: -0.835 eV/atom
**Mass density**: 4.611 g cm⁻³


[9]
Entry from Alexandria: a relaxed PmGdTe2 crystal (GGA-PBE).

The structure in POSCAR format:
```
PmGdTe2
1.0
-3.624 -0.694 -1.054
-0.338 -2.555 2.843
-2.435 5.561 4.709
Te Gd Pm
2 1 1
direct
0.000 0.000 0.748
0.000 0.000 0.252
0.500 0.500 0.500
0.500 0.500 0.000
```

Output
**VASP energy**: -7.570 eV per atom
**N(E_F)**: 4.7 states/eV/f.u.
**Energy relative to the lowest polymorph listed for this composition**: 0.0 kJ per mole of atoms
**Crystal system**: tetragonal
**M_tot**: 8.112 μB per formula unit
**Uncorrected formation energy**: -1.292 eV/atom
**Mass density**: 8.182 g cm⁻³


[10]
Entry from Alexandria: a relaxed TmTh2S6 crystal (GGA-PBE).

The structure in POSCAR format:
```
TmTh2S6
1.0
6.426 0.000 0.000
0.000 6.426 0.000
0.000 0.000 12.589
S Th Tm
12 4 2
direct
0.195 0.805 0.339
0.301 0.301 0.500
0.699 0.699 0.500
0.805 0.195 0.339
0.199 0.801 0.000
0.805 0.195 0.661
0.695 0.695 0.839
0.305 0.305 0.161
0.195 0.805 0.661
0.801 0.199 0.000
0.305 0.305 0.839
0.695 0.695 0.161
0.000 0.000 0.831
0.000 0.000 0.169
0.500 0.500 0.331
0.500 0.500 0.669
0.500 0.500 0.000
0.000 0.000 0.500
```

Output
**VASP energy**: -6.584 eV per atom
**N(E_F)**: 7.0 states/eV/f.u.
**Crystal system**: tetragonal
**M_tot**: 0.000 μB per formula unit
**Uncorrected formation energy**: -1.687 eV/atom
**Mass density**: 5.273 g cm⁻³


[11]
Entry from Alexandria: a relaxed La5Hg2Ru crystal (GGA-PBE).

The structure in POSCAR format:
```
La5Hg2Ru
1.0
-1.069 -1.139 5.616
4.839 -6.311 -3.383
10.625 6.371 3.315
La Ru Hg
10 2 4
direct
0.691 0.383 0.586
0.691 0.383 0.914
0.069 0.138 0.103
0.309 0.617 0.086
0.306 0.612 0.750
0.931 0.862 0.897
0.069 0.138 0.397
0.309 0.617 0.414
0.694 0.388 0.250
0.931 0.862 0.603
0.186 0.373 0.250
0.814 0.627 0.750
0.127 0.254 0.634
0.873 0.746 0.366
0.873 0.746 0.134
0.127 0.254 0.866
```

Output
**VASP energy**: -4.449 eV per atom
**N(E_F)**: 9.2 states/eV/f.u.
**Energy relative to the lowest polymorph listed for this composition**: 24.3 kJ per mole of atoms
**Crystal system**: orthorhombic
**M_tot**: 0.000 μB per formula unit
**Mass density**: 6.535 g cm⁻³


[12]
Entry from Alexandria: a relaxed TaTl2Se5 crystal (GGA-PBE).

The structure in POSCAR format:
```
TaTl2Se5
1.0
-6.475 -4.235 -1.790
2.491 -4.667 2.030
-0.502 5.729 5.872
Se Ta Tl
5 1 2
direct
0.799 0.765 0.064
0.265 0.298 0.064
0.789 0.789 0.577
0.799 0.299 0.064
0.265 0.765 0.064
0.969 0.969 0.937
0.209 0.710 0.418
0.683 0.183 0.366
```

Output
**VASP energy**: -4.635 eV per atom
**N(E_F)**: 4.0 states/eV/f.u.
**Crystal system**: orthorhombic
**M_tot**: 0.000 μB per formula unit
**Uncorrected formation energy**: -0.384 eV/atom
**Mass density**: 5.493 g cm⁻³